{
  "formula": "Zr3PtN",
  "functional": "GGA-PBE",
  "state": "optimized geometry",
  "lattice_angstrom": [[5.609, 0.000, 0.000], [2.511, 5.201, 0.000], [0.965, 0.989, 6.245]],
  "species": ["Zr", "Zr", "Zr", "Zr", "Zr", "Zr", "Pt", "Pt", "N", "N"],
  "frac_coords": [[0.122, 0.430, 0.267], [0.269, 0.987, 0.890], [0.299, 0.831, 0.440], [0.701, 0.169, 0.560], [0.731, 0.013, 0.110], [0.878, 0.570, 0.733], [0.375, 0.474, 0.843], [0.625, 0.526, 0.157], [0.068, 0.202, 0.580], [0.932, 0.798, 0.420]],
  "sg": "P-1, No. 2",
  "rho_kg_m3": 8799,
  "formation_energy_uncorrected_ev_per_atom": -1.01
}

{
  "formula": "Zr3PtN",
  "functional": "GGA-PBE",
  "state": "optimized geometry",
  "lattice_angstrom": [[7.961, 0.000, 0.000], [0.000, 5.721, 0.000], [-3.450, 0.000, 7.724]],
  "species": ["Zr", "Zr", "Zr", "Zr", "Zr", "Zr", "Zr", "Zr", "Zr", "Zr", "Zr", "Zr", "Pt", "Pt", "Pt", "Pt", "N", "N", "N", "N"],
  "frac_coords": [[0.060, 0.085, 0.352], [0.060, 0.415, 0.852], [0.194, 0.579, 0.545], [0.194, 0.921, 0.045], [0.367, 0.125, 0.772], [0.367, 0.375, 0.272], [0.633, 0.625, 0.728], [0.633, 0.875, 0.228], [0.806, 0.079, 0.955], [0.806, 0.421, 0.455], [0.940, 0.585, 0.148], [0.940, 0.915, 0.648], [0.389, 0.670, 0.896], [0.389, 0.830, 0.396], [0.611, 0.170, 0.604], [0.611, 0.330, 0.104], [0.078, 0.246, 0.604], [0.078, 0.254, 0.104], [0.922, 0.746, 0.896], [0.922, 0.754, 0.396]],
  "sg": "P2_1/c, No. 14",
  "rho_kg_m3": 9115,
  "formation_energy_uncorrected_ev_per_atom": -1.09
}

{
  "formula": "Zr3PtN",
  "functional": "GGA-PBE",
  "state": "optimized geometry",
  "lattice_angstrom": [[-2.447, 2.447, 10.041], [2.447, -2.447, 10.041], [2.447, 2.447, -10.041]],
  "species": ["Zr", "Zr", "Zr", "Zr", "Zr", "Zr", "Pt", "Pt", "N", "N"],
  "frac_coords": [[0.201, 0.201, 0.000], [0.377, 0.621, 0.756], [0.379, 0.135, 0.756], [0.379, 0.623, 0.244], [0.799, 0.799, 0.000], [0.865, 0.621, 0.244], [0.250, 0.750, 0.500], [0.500, 0.500, 0.000], [0.660, 0.160, 0.500], [0.840, 0.340, 0.500]],
  "sg": "I-4m2, No. 119",
  "rho_kg_m3": 6667,
  "formation_energy_uncorrected_ev_per_atom": 0.56
}

{
  "formula": "Zr2Pt2N",
  "functional": "GGA-PBE",
  "state": "optimized geometry",
  "lattice_angstrom": [[-2.324, 2.324, 4.973], [2.324, -2.324, 4.973], [2.324, 2.324, -4.973]],
  "species": ["Zr", "Zr", "Pt", "Pt", "N"],
  "frac_coords": [[0.250, 0.750, 0.500], [0.750, 0.250, 0.500], [0.125, 0.125, 0.000], [0.875, 0.875, 0.000], [0.500, 0.500, 0.000]],
  "sg": "I4/mmm, No. 139",
  "rho_kg_m3": 9069,
  "relative_energy_mev_per_atom": 1049,
  "formation_energy_uncorrected_ev_per_atom": 0.42
}

{
  "formula": "Zr2Pt2N",
  "functional": "GGA-PBE",
  "state": "optimized geometry",
  "lattice_angstrom": [[7.186, 0.000, 0.000], [0.000, 7.186, 0.000], [0.000, 0.000, 3.511]],
  "species": ["Zr", "Zr", "Zr", "Zr", "Pt", "Pt", "Pt", "Pt", "N", "N"],
  "frac_coords": [[0.172, 0.328, 0.000], [0.328, 0.828, 0.000], [0.672, 0.172, 0.000], [0.828, 0.672, 0.000], [0.133, 0.633, 0.500], [0.367, 0.133, 0.500], [0.633, 0.867, 0.500], [0.867, 0.367, 0.500], [0.000, 0.000, 0.500], [0.500, 0.500, 0.500]],
  "sg": "P4/mbm, No. 127",
  "rho_kg_m3": 10746,
  "relative_energy_mev_per_atom": 651,
  "formation_energy_uncorrected_ev_per_atom": 0.02
}

{
  "formula": "Pu6N5",
  "functional": "GGA-PBE",
  "state": "optimized geometry",
  "lattice_angstrom": [[2.995, -5.178, 0.000], [2.995, 5.178, 0.000], [-2.038, 0.000, 5.624]],
  "species": ["Pu", "Pu", "Pu", "Pu", "Pu", "Pu", "N", "N", "N", "N", "N"],
  "frac_coords": [[0.082, 0.413, 0.248], [0.251, 0.251, 0.746], [0.413, 0.082, 0.248], [0.587, 0.918, 0.752], [0.749, 0.749, 0.254], [0.918, 0.587, 0.752], [0.182, 0.818, 0.500], [0.331, 0.669, 0.000], [0.500, 0.500, 0.500], [0.669, 0.331, 0.000], [0.818, 0.182, 0.500]],
  "sg": "C2/m, No. 12",
  "rho_kg_m3": 14606,
  "formation_energy_uncorrected_ev_per_atom": -1.02
}

{
  "formula": "Pu5N4",
  "functional": "GGA-PBE",
  "state": "optimized geometry",
  "lattice_angstrom": [[-3.894, 3.894, 2.475], [3.894, -3.894, 2.475], [3.894, 3.894, -2.475]],
  "species": ["Pu", "Pu", "Pu", "Pu", "Pu", "N", "N", "N", "N"],
  "frac_coords": [[0.000, 0.000, 0.000], [0.198, 0.601, 0.799], [0.399, 0.198, 0.596], [0.601, 0.802, 0.404], [0.802, 0.399, 0.201], [0.089, 0.307, 0.396], [0.307, 0.911, 0.219], [0.693, 0.089, 0.781], [0.911, 0.693, 0.604]],
  "sg": "I4/m, No. 87",
  "rho_kg_m3": 14116,
  "formation_energy_uncorrected_ev_per_atom": -1.03
}

{
  "formula": "Pu3N5",
  "functional": "GGA-PBE",
  "state": "optimized geometry",
  "lattice_angstrom": [[2.716, -6.230, 0.000], [2.716, 6.230, 0.000], [-1.990, 0.000, 6.106]],
  "species": ["Pu", "Pu", "Pu", "Pu", "Pu", "Pu", "N", "N", "N", "N", "N", "N", "N", "N", "N", "N"],
  "frac_coords": [[0.141, 0.859, 0.000], [0.219, 0.781, 0.500], [0.412, 0.412, 0.708], [0.588, 0.588, 0.292], [0.781, 0.219, 0.500], [0.859, 0.141, 0.000], [0.076, 0.462, 0.782], [0.125, 0.340, 0.376], [0.247, 0.247, 0.990], [0.340, 0.125, 0.376], [0.462, 0.076, 0.782], [0.538, 0.924, 0.218], [0.660, 0.875, 0.624], [0.753, 0.753, 0.010], [0.875, 0.660, 0.624], [0.924, 0.538, 0.218]],
  "sg": "C2/m, No. 12",
  "rho_kg_m3": 12889,
  "formation_energy_uncorrected_ev_per_atom": -0.67
}

Number 8 is which compound? Pu3N5